The following is a DFT calculation (PBE) of crystalline Ag2SnPd2 at its relaxed geometry.

The distance to the lowest polymorph of the same formula is 4 meV/atom. Its crystal system is tetragonal. Its electronic total energy is -4.163 eV/atom. The value obtained for the size of the total moment is 0.00 μB/atom. The formation energy is -0.1453 eV/atom.

It has space group P4/mbm (No. 127), with a = 6.862 Å, b = 6.862 Å, c = 4.018 Å, α = 90.00°, β = 90.00° and γ = 90.00°. The distinct sites, in fractional coordinates, are Ag at (0.156, 0.344, 0.000), Sn at (0.000, 0.000, 0.500) and Pd at (0.142, 0.642, 0.500).


The following is a DFT calculation (PBE) of crystalline PmSm2CdC at its relaxed geometry.

Its crystal system is tetragonal. Its electronic total energy is -5.060 eV/atom. The value obtained for the size of the total moment is 0.00 μB/atom. The formation energy is -0.1946 eV/atom.

It has space group P4/mmm (No. 123), with a = 5.054 Å, b = 5.054 Å, c = 5.097 Å, α = 90.00°, β = 90.00° and γ = 90.00°. The distinct sites, in fractional coordinates, are Pm at (0.000, 0.000, 0.000), Sm at (0.000, 0.500, 0.500), Cd at (0.500, 0.500, 0.000) and C at (0.000, 0.000, 0.500).


The following is a DFT calculation (PBE) of crystalline Hf2NpRh at its relaxed geometry.

The distance to the lowest polymorph of the same formula is 357 meV/atom. Its crystal system is cubic. Its electronic total energy is -9.928 eV/atom. The value obtained for the size of the total moment is 0.99 μB/atom. The formation energy is 0.1213 eV/atom.

It has space group Fm-3m (No. 225), with a = 6.769 Å, b = 6.769 Å, c = 6.769 Å, α = 90.00°, β = 90.00° and γ = 90.00°. The distinct sites, in fractional coordinates, are Hf at (0.250, 0.250, 0.250), Np at (0.000, 0.000, 0.000) and Rh at (0.000, 0.000, 0.500).